Entry 1:
Computed, not measured: a relaxed structure of Pm8Nd3Th2 at the PBE-GGA level of DFT.

Unit cell a=6.850 b=7.031 c=21.725 alpha=85.41 beta=81.07 gamma=60.90
Element x y z (fractional)
Pm1 0.014 0.404 0.432
Pm2 0.028 0.141 0.282
Pm3 0.102 0.403 0.094
Pm4 0.118 0.871 0.145
Pm5 0.397 0.565 0.935
Pm6 0.448 0.014 0.654
Pm7 0.456 0.835 0.806
Pm8 0.479 0.528 0.595
Pm9 0.521 0.472 0.405
Pm10 0.544 0.165 0.194
Pm11 0.552 0.986 0.346
Pm12 0.603 0.435 0.065
Pm13 0.882 0.129 0.855
Pm14 0.898 0.597 0.906
Pm15 0.972 0.859 0.718
Pm16 0.986 0.596 0.568
Nd1 0.000 0.000 0.000
Nd2 0.121 0.600 0.289
Nd3 0.392 0.354 0.778
Nd4 0.500 0.000 0.500
Nd5 0.608 0.646 0.222
Nd6 0.879 0.400 0.711
Th1 0.025 0.919 0.427
Th2 0.399 0.110 0.938
Th3 0.601 0.890 0.062
Th4 0.975 0.081 0.573

- Formation energy from the elements: 0.161 eV per atom

Entry 2:
Computed, not measured: a relaxed structure of ReMoAsBr2 at the PBE-GGA level of DFT.

Unit cell a=5.212 b=5.212 c=4.986 alpha=90.00 beta=90.00 gamma=90.00
Element x y z (fractional)
Re1 0.000 0.000 0.000
Mo1 0.500 0.500 0.500
As1 0.500 0.500 0.000
Br1 0.000 0.500 0.500
Br2 0.500 0.000 0.500

- Raw formation energy: 1.385 eV per atom

Entry 3:
Computed, not measured: a relaxed structure of K2MgNiAu at the PBE-GGA level of DFT.

Unit cell a=5.996 b=5.996 c=4.879 alpha=90.00 beta=90.00 gamma=90.00
Element x y z (fractional)
K1 0.000 0.500 0.000
K2 0.500 0.000 0.000
Mg1 0.000 0.000 0.500
Ni1 0.500 0.500 0.000
Au1 0.500 0.500 0.500

- Formation energy from the elements: 0.388 eV per atom

Entry 4:
Computed, not measured: a relaxed structure of TbUCo3 at the PBE-GGA level of DFT.

Unit cell a=6.341 b=6.341 c=6.341 alpha=130.91 beta=96.40 gamma=103.51
Element x y z (fractional)
Tb1 0.313 0.063 0.250
Tb2 0.687 0.937 0.750
U1 0.000 0.500 0.500
U2 0.500 0.500 0.000
Co1 0.081 0.331 0.750
Co2 0.232 0.000 0.732
Co3 0.232 0.500 0.232
Co4 0.768 0.000 0.268
Co5 0.768 0.500 0.768
Co6 0.919 0.669 0.250

- Formation energy from the elements: -0.130 eV per atom

Entry 5:
Computed, not measured: a relaxed structure of Co3PdRh at the PBE-GGA level of DFT.

Unit cell a=6.947 b=6.947 c=6.947 alpha=40.83 beta=40.83 gamma=40.83
Element x y z (fractional)
Co1 0.120 0.120 0.610
Co2 0.120 0.610 0.120
Co3 0.390 0.880 0.880
Co4 0.610 0.120 0.120
Co5 0.880 0.390 0.880
Co6 0.880 0.880 0.390
Pd1 0.165 0.165 0.165
Pd2 0.835 0.835 0.835
Rh1 0.431 0.431 0.431
Rh2 0.569 0.569 0.569

- Formation energy from the elements: 0.100 eV per atom

Entry 6:
Computed, not measured: a relaxed structure of Dy2HgPb2 at the PBE-GGA level of DFT.

Unit cell a=5.070 b=5.070 c=12.756 alpha=90.00 beta=90.00 gamma=120.00
Element x y z (fractional)
Dy1 0.333 0.667 0.102
Dy2 0.333 0.667 0.398
Dy3 0.667 0.333 0.602
Dy4 0.667 0.333 0.898
Hg1 0.000 0.000 0.250
Hg2 0.000 0.000 0.750
Pb1 0.000 0.000 0.000
Pb2 0.000 0.000 0.500
Pb3 0.333 0.667 0.750
Pb4 0.667 0.333 0.250

- Formation energy from the elements: -0.307 eV per atom

Entry 7:
Computed, not measured: a relaxed structure of CaFeI3 at the PBE-GGA level of DFT.

Unit cell a=6.077 b=6.077 c=6.077 alpha=90.00 beta=90.00 gamma=90.00
Element x y z (fractional)
Ca1 0.000 0.000 0.000
Fe1 0.500 0.500 0.500
I1 0.000 0.000 0.500
I2 0.000 0.500 0.000
I3 0.500 0.000 0.000

- Raw formation energy: -0.082 eV per atom

Entry 8:
Computed, not measured: a relaxed structure of AlRe2Cl at the PBE-GGA level of DFT.

Unit cell a=5.809 b=5.809 c=4.232 alpha=100.40 beta=100.40 gamma=27.84
Element x y z (fractional)
Al1 0.000 0.000 0.000
Re1 0.296 0.296 0.787
Re2 0.704 0.704 0.213
Cl1 0.500 0.500 0.500

- Raw formation energy: 0.404 eV per atom

Entry 9:
Computed, not measured: a relaxed structure of LiPmHo4S8 at the PBE-GGA level of DFT.

Unit cell a=8.065 b=8.065 c=8.065 alpha=59.36 beta=59.36 gamma=59.36
Element x y z (fractional)
Li1 0.000 0.000 0.000
Pm1 0.629 0.629 0.629
Ho1 0.111 0.629 0.629
Ho2 0.251 0.251 0.251
Ho3 0.629 0.111 0.629
Ho4 0.629 0.629 0.111
S1 0.378 0.378 0.852
S2 0.378 0.852 0.378
S3 0.383 0.383 0.383
S4 0.393 0.872 0.872
S5 0.852 0.378 0.378
S6 0.867 0.867 0.867
S7 0.872 0.393 0.872
S8 0.872 0.872 0.393

- Raw formation energy: -1.959 eV per atom

Entry 10:
Computed, not measured: a relaxed structure of Tb6PrSc2 at the PBE-GGA level of DFT.

Unit cell a=9.350 b=9.350 c=6.577 alpha=99.95 beta=99.95 gamma=87.61
Element x y z (fractional)
Tb1 0.036 0.449 0.236
Tb2 0.114 0.833 0.502
Tb3 0.167 0.886 0.998
Tb4 0.293 0.465 0.676
Tb5 0.449 0.036 0.736
Tb6 0.465 0.293 0.176
Tb7 0.535 0.707 0.824
Tb8 0.551 0.964 0.264
Tb9 0.707 0.535 0.324
Tb10 0.833 0.114 0.002
Tb11 0.886 0.167 0.498
Tb12 0.964 0.551 0.764
Pr1 0.357 0.643 0.250
Pr2 0.643 0.357 0.750
Sc1 0.153 0.212 0.870
Sc2 0.212 0.153 0.370
Sc3 0.788 0.847 0.630
Sc4 0.847 0.788 0.130

- Formation energy from the elements: 0.129 eV per atom

Entry 11:
Computed, not measured: a relaxed structure of AcLa4PrCd2 at the PBE-GGA level of DFT.

Unit cell a=6.501 b=6.501 c=8.594 alpha=98.46 beta=98.46 gamma=51.52
Element x y z (fractional)
Ac1 0.000 0.000 0.000
La1 0.151 0.151 0.486
La2 0.317 0.317 0.157
La3 0.683 0.683 0.843
La4 0.849 0.849 0.514
Pr1 0.500 0.500 0.500
Cd1 0.359 0.359 0.796
Cd2 0.641 0.641 0.204

- Formation energy from the elements: -0.047 eV per atom

Entry 12:
Computed, not measured: a relaxed structure of Ac6Ru2SeBr3 at the PBE-GGA level of DFT.

Unit cell a=7.667 b=7.667 c=8.572 alpha=98.48 beta=98.48 gamma=119.99
Element x y z (fractional)
Ac1 0.076 0.434 0.801
Ac2 0.207 0.207 0.199
Ac3 0.434 0.076 0.801
Ac4 0.566 0.924 0.199
Ac5 0.793 0.793 0.801
Ac6 0.924 0.566 0.199
Ru1 0.167 0.833 0.000
Ru2 0.833 0.167 0.000
Se1 0.500 0.500 0.000
Br1 0.000 0.000 0.500
Br2 0.334 0.666 0.500
Br3 0.666 0.334 0.500

- Raw formation energy: -1.100 eV per atom

Entry 13:
Computed, not measured: a relaxed structure of ZnW4 at the PBE-GGA level of DFT.

Unit cell a=4.809 b=4.809 c=4.809 alpha=101.86 beta=101.86 gamma=126.09
Element x y z (fractional)
Zn1 0.000 0.000 0.000
W1 0.205 0.405 0.610
W2 0.405 0.795 0.200
W3 0.595 0.205 0.800
W4 0.795 0.595 0.390

- Formation energy from the elements: 0.352 eV per atom

Entry 14:
Computed, not measured: a relaxed structure of LaPr6In6 at the PBE-GGA level of DFT.

Unit cell a=6.413 b=6.413 c=11.282 alpha=90.00 beta=90.00 gamma=120.00
Element x y z (fractional)
La1 0.000 0.000 0.000
Pr1 0.000 0.000 0.336
Pr2 0.000 0.000 0.664
Pr3 0.333 0.667 0.000
Pr4 0.333 0.667 0.500
Pr5 0.667 0.333 0.000
Pr6 0.667 0.333 0.500
In1 0.000 0.500 0.245
In2 0.000 0.500 0.755
In3 0.500 0.000 0.245
In4 0.500 0.000 0.755
In5 0.500 0.500 0.245
In6 0.500 0.500 0.755

- Formation energy from the elements: -0.366 eV per atom

Entry 15:
Computed, not measured: a relaxed structure of Cu2OsW at the PBE-GGA level of DFT.

Unit cell a=2.659 b=2.659 c=8.574 alpha=90.00 beta=90.00 gamma=111.17
Element x y z (fractional)
Cu1 0.000 0.000 0.000
Cu2 0.500 0.500 0.232
Os1 0.000 0.000 0.487
W1 0.500 0.500 0.743

- Formation energy from the elements: 0.335 eV per atom

no.,E_tot (eV per cell),mass density (Mg/m³)
1,-130.105,7.6
2,-24.350,6.3
3,-10.907,3.4
4,-75.772,10.9
5,-66.726,9.9
6,-36.914,11.0
7,-15.523,3.5
8,-28.868,11.0
9,-85.419,4.9
10,-88.127,7.1
11,-30.806,6.8
12,-64.905,7.5
13,-51.326,16.6
14,-54.789,6.9
15,-31.035,14.7